Record 1
PBE CsNaCdAu2, relaxed; E_form = -279 meV per atom; uncorrected energy = -2.21 eV/atom; space group = I-4m2, No. 119; energy above the most stable polymorph in this dataset = 0 meV per atom
1.0
4.9030 0.0000 0.0000
0.0000 4.9030 0.0000
0.0000 0.0000 12.3930
Cs Na Cd Au
2 2 2 4
Direct
0.0000 0.0000 0.0000 Cs
0.5000 0.5000 0.5000 Cs
0.0000 0.5000 0.2500 Na
0.5000 0.0000 0.7500 Na
0.0000 0.5000 0.7500 Cd
0.5000 0.0000 0.2500 Cd
0.0000 0.0000 0.3857 Au
0.0000 0.0000 0.6143 Au
0.5000 0.5000 0.1143 Au
0.5000 0.5000 0.8857 Au

Record 2
PBE Cs2NaCd12Au3, relaxed; E_form = 35 meV per atom; uncorrected energy = -1.29 eV/atom; space group = R-3m, No. 166
1.0
5.0264 2.9020 7.1614
-5.0264 2.9020 7.1614
0.0000 -5.8040 7.1614
Cs Na Cd Au
2 1 12 3
Direct
0.0929 0.0929 0.0929 Cs
0.9071 0.9071 0.9071 Cs
0.5000 0.5000 0.5000 Na
0.1374 0.6294 0.6294 Cd
0.1738 0.1738 0.4953 Cd
0.1738 0.4953 0.1738 Cd
0.3706 0.3706 0.8626 Cd
0.3706 0.8626 0.3706 Cd
0.4953 0.1737 0.1738 Cd
0.5047 0.8262 0.8262 Cd
0.6294 0.1374 0.6294 Cd
0.6294 0.6294 0.1374 Cd
0.8262 0.5047 0.8262 Cd
0.8262 0.8262 0.5047 Cd
0.8626 0.3706 0.3706 Cd
0.0000 0.5000 0.5000 Au
0.5000 0.0000 0.5000 Au
0.5000 0.5000 0.0000 Au

Record 3
PBE CsNaCd2Au, relaxed; E_form = -145 meV per atom; uncorrected energy = -1.60 eV/atom; space group = P4/mmm, No. 123; energy above the most stable polymorph in this dataset = 9 meV per atom
1.0
5.4800 0.0000 0.0000
0.0000 5.4800 0.0000
0.0000 0.0000 5.8050
Cs Na Cd Au
1 1 2 1
Direct
0.0000 0.0000 0.0000 Cs
0.5000 0.5000 0.0000 Na
0.0000 0.5000 0.5000 Cd
0.5000 0.0000 0.5000 Cd
0.5000 0.5000 0.5000 Au

Record 4
PBE Cs2NaCdAu, relaxed; E_form = -112 meV per atom; uncorrected energy = -1.56 eV/atom; space group = P4/mmm, No. 123; energy above the most stable polymorph in this dataset = 0 meV per atom
1.0
6.9983 0.0000 0.0000
0.0000 6.9983 0.0000
0.0000 0.0000 5.4789
Cs Na Cd Au
2 1 1 1
Direct
0.0000 0.5000 0.0000 Cs
0.5000 0.0000 0.0000 Cs
0.0000 0.0000 0.5000 Na
0.5000 0.5000 0.5000 Cd
0.5000 0.5000 0.0000 Au

Record 5
PBE CsNaCd2Au, relaxed; E_form = -12 meV per atom; uncorrected energy = -1.47 eV/atom; space group = P4/mmm, No. 123; energy above the most stable polymorph in this dataset = 142 meV per atom
1.0
5.4793 0.0000 0.0000
0.0000 5.4793 0.0000
0.0000 0.0000 6.5746
Cs Na Cd Au
1 1 2 1
Direct
0.0000 0.0000 0.0000 Cs
0.5000 0.5000 0.0000 Na
0.0000 0.5000 0.5000 Cd
0.5000 0.0000 0.5000 Cd
0.0000 0.0000 0.5000 Au

Record 6
PBE Cs2NaCd4Au3, relaxed; E_form = -181 meV per atom; uncorrected energy = -1.83 eV/atom; space group = P-4m2, No. 115
1.0
5.0347 0.0000 0.0000
0.0000 5.0347 0.0000
0.0000 0.0000 12.0222
Cs Na Cd Au
2 1 4 3
Direct
0.0000 0.5000 0.2428 Cs
0.5000 0.0000 0.7572 Cs
0.0000 0.0000 0.5000 Na
0.0000 0.0000 0.0000 Cd
0.0000 0.5000 0.6410 Cd
0.5000 0.0000 0.3590 Cd
0.5000 0.5000 0.0000 Cd
0.0000 0.5000 0.8792 Au
0.5000 0.0000 0.1208 Au
0.5000 0.5000 0.5000 Au

Record 7
PBE Cs2Na2CdAu2, relaxed; E_form = -168 meV per atom; uncorrected energy = -1.86 eV/atom; space group = C2/m, No. 12
1.0
12.1521 0.0000 0.0000
0.0000 5.0955 0.0000
-5.5393 0.0000 9.7307
Cs Na Cd Au
4 4 2 4
Direct
0.2026 0.0000 0.2905 Cs
0.2974 0.5000 0.7095 Cs
0.7026 0.5000 0.2905 Cs
0.7974 0.0000 0.7095 Cs
0.1309 0.5000 0.9372 Na
0.3691 0.0000 0.0628 Na
0.6309 0.0000 0.9372 Na
0.8691 0.5000 0.0628 Na
0.0000 0.0000 0.5000 Cd
0.5000 0.5000 0.5000 Cd
0.1285 0.0000 0.7894 Au
0.3715 0.5000 0.2106 Au
0.6285 0.5000 0.7894 Au
0.8715 0.0000 0.2106 Au

Record 8
PBE CsNaCdAu2, relaxed; E_form = -82 meV per atom; uncorrected energy = -2.01 eV/atom; space group = P4/mmm, No. 123; energy above the most stable polymorph in this dataset = 197 meV per atom
1.0
5.5236 0.0000 0.0000
0.0000 5.5236 0.0000
0.0000 0.0000 5.4961
Cs Na Cd Au
1 1 1 2
Direct
0.0000 0.0000 0.0000 Cs
0.5000 0.5000 0.0000 Na
0.5000 0.5000 0.5000 Cd
0.0000 0.5000 0.5000 Au
0.5000 0.0000 0.5000 Au

Record 9
PBE CsNaCd2Au, relaxed; E_form = -154 meV per atom; uncorrected energy = -1.61 eV/atom; space group = Imm2, No. 44; energy above the most stable polymorph in this dataset = 0 meV per atom
1.0
4.8846 0.0000 0.0000
0.0000 5.1917 0.0000
0.0000 0.0000 12.7324
Cs Na Cd Au
2 2 4 2
Direct
0.0000 0.0000 0.0000 Cs
0.5000 0.5000 0.5000 Cs
0.0000 0.5000 0.7320 Na
0.5000 0.0000 0.2320 Na
0.0000 0.0000 0.3875 Cd
0.0000 0.5000 0.2422 Cd
0.5000 0.0000 0.7422 Cd
0.5000 0.5000 0.8875 Cd
0.0000 0.0000 0.6111 Au
0.5000 0.5000 0.1111 Au

Record 10
PBE Cs2NaCdAu, relaxed; E_form = -63 meV per atom; uncorrected energy = -1.51 eV/atom; space group = P4/mmm, No. 123; energy above the most stable polymorph in this dataset = 49 meV per atom
1.0
6.9105 0.0000 0.0000
0.0000 6.9105 0.0000
0.0000 0.0000 5.7496
Cs Na Cd Au
2 1 1 1
Direct
0.0000 0.5000 0.0000 Cs
0.5000 0.0000 0.0000 Cs
0.0000 0.0000 0.5000 Na
0.5000 0.5000 0.5000 Cd
0.0000 0.0000 0.0000 Au

Record 11
PBE Cs2CdAuO, relaxed; uncorrected energy = -2.72 eV/atom; energy relative to the elements, uncorrected = -0.546 eV per atom; space group = P4/mmm, No. 123; energy above the most stable polymorph in this dataset = 124 meV per atom
1.0
6.3540 0.0000 0.0000
0.0000 6.3540 0.0000
0.0000 0.0000 4.4396
Cs Cd Au O
2 1 1 1
Direct
0.0000 0.5000 0.0000 Cs
0.5000 0.0000 0.0000 Cs
0.0000 0.0000 0.5000 Cd
0.5000 0.5000 0.5000 Au
0.0000 0.0000 0.0000 O

Record 12
PBE Cs6CdAu2O, relaxed; uncorrected energy = -2.17 eV/atom; energy relative to the elements, uncorrected = -0.415 eV per atom; space group = P1, No. 1
1.0
8.8704 0.0000 0.0000
4.4300 7.6859 0.0000
4.4295 2.5637 7.9958
Cs Cd Au O
6 1 2 1
Direct
0.0000 0.0000 0.0000 Cs
0.0701 0.7174 0.5749 Cs
0.2169 0.3230 0.0000 Cs
0.3944 0.1776 0.5748 Cs
0.6771 0.5397 0.9996 Cs
0.8548 0.3928 0.5746 Cs
0.5511 0.8737 0.2404 Cd
0.2196 0.5426 0.2354 Au
0.6722 0.9953 0.8769 Au
0.0357 0.3585 0.7871 O